Cs3CaGe2I9 PBE-GGA relaxed; calculated density = 4.259 g/cm³; uncorrected formation energy = -102.4 kJ per mole of atoms; total magnetization = 0.00 μB/f.u.; raw total energy = -2.912 eV per atom
1.0
-3.321 7.389 2.868
-5.167 -6.083 -3.185
-1.002 -4.179 9.605
I Ge Ca Cs
9 2 1 3
Cartesian
-1.661 3.694 1.434 I
-5.181 -5.158 1.003 I
-4.244 0.653 -0.159 I
-2.583 -3.042 -1.593 I
-4.309 2.284 8.285 I
-6.802 -1.551 2.403 I
-2.659 -2.188 2.558 I
-6.831 -0.685 6.730 I
-2.687 -1.323 6.885 I
-4.779 -0.616 8.927 Ge
-4.711 -2.258 0.361 Ge
-0.501 -2.089 4.803 Ca
0.000 0.000 0.000 Cs
-5.219 -4.379 5.237 Cs
-4.270 1.506 4.050 Cs